RbCoSe2O8 | PBE+U | optimized geometry

The space group is R-3 (No. 148, hexagonal axes) and the conventional cell measures 4.9965, 4.9965 and 26.6005 Å, with angles of 90.00, 90.00 and 120.00 degrees. The asymmetric unit holds Rb at (0.0000, 0.0000, 0.0000), Co at (0.0000, 0.0000, 0.5000), Se at (0.0000, 0.0000, 0.2309), O at (0.0000, 0.0000, 0.2931) and O at (0.9997, 0.3553, 0.1220).

As for the volume: 191.7 Å³/f.u. For the total magnetization, the calculation gives 0.1626 μB per atom. The value obtained for the density of states at the Fermi level is 5.59 states/eV/f.u. The value obtained for the total DFT energy (no corrections) is -5.251 eV/atom.